A | Compound: Th4SiGe
Source: Alexandria
Functional: PBE
Structure: relaxed

Cell and atoms, written as POSCAR:
```
Th4SiGe
1.0
6.022 0.000 0.000
0.000 7.390 0.000
0.000 0.000 7.390
Th Si Ge
8 2 2
Cartesian
0.000 1.196 4.932
0.000 6.194 2.459
0.000 2.459 1.196
0.000 4.932 6.194
3.011 6.194 4.932
3.011 1.196 2.459
3.011 4.932 1.196
3.011 2.459 6.194
1.506 0.000 0.000
4.517 0.000 0.000
1.506 3.695 3.695
4.517 3.695 3.695
```

***

B | Compound: Th4SiGe
Source: Alexandria
Functional: PBE
Structure: relaxed

Cell and atoms, written as POSCAR:
```
Th4SiGe
1.0
-3.686 3.686 3.033
3.686 -3.686 3.033
3.686 3.686 -3.033
Th Si Ge
4 1 1
Cartesian
2.470 -1.216 1.516
4.902 1.216 1.516
-1.216 4.902 1.516
1.216 2.470 1.516
0.000 0.000 3.033
0.000 0.000 0.000
```

***

Preferred: A; penalty for the next structure: 0.6 kJ/mol of atoms.

***

A | Compound: Th4SiGe2
Source: Alexandria
Functional: PBE
Structure: relaxed

Cell and atoms, written as POSCAR:
```
Th4SiGe2
1.0
-0.092 -4.228 0.617
4.457 -0.926 -5.680
3.152 3.046 6.534
Th Si Ge
4 1 2
Cartesian
3.255 -1.612 4.233
4.262 -0.496 -2.762
2.013 -2.165 0.261
5.504 0.057 1.210
0.000 0.000 0.000
4.901 -2.343 -0.527
2.616 0.235 1.999
```

***

B | Compound: Th4SiGe2
Source: Alexandria
Functional: PBE
Structure: relaxed

Cell and atoms, written as POSCAR:
```
Th4SiGe2
1.0
4.343 0.000 0.000
-2.171 5.831 0.000
0.000 0.000 15.609
Th Si Ge
8 2 4
Cartesian
2.172 3.621 1.972
2.172 3.621 5.833
0.000 2.210 13.637
0.000 2.210 9.776
2.172 4.727 11.707
0.000 1.105 3.902
2.172 0.000 0.000
2.171 0.000 7.805
2.171 1.156 11.707
0.000 4.676 3.902
0.000 1.763 6.760
2.172 4.068 14.565
0.000 1.763 1.044
2.172 4.068 8.849
```

***

Preferred: B; penalty for the next structure: 0.8 kJ/mol of atoms.

***

A | Compound: TiSiGe3
Source: Alexandria
Functional: PBE
Structure: relaxed

Cell and atoms, written as POSCAR:
```
TiSiGe3
1.0
4.721 0.000 0.000
0.000 4.721 0.000
0.000 0.000 4.721
Ge Si Ti
3 1 1
Cartesian
0.000 2.360 0.000
0.000 0.000 2.360
2.360 0.000 0.000
0.000 0.000 0.000
2.360 2.360 2.360
```

***

B | Compound: TiSiGe3
Source: Alexandria
Functional: PBE
Structure: relaxed

Cell and atoms, written as POSCAR:
```
TiSiGe3
1.0
-3.959 0.425 -2.837
-1.632 -4.311 1.632
-2.360 2.268 3.632
Ge Si Ti
3 1 1
Cartesian
-0.816 -2.155 0.816
-1.180 1.134 1.816
-1.980 0.212 -1.419
-3.975 -0.809 1.213
0.000 0.000 0.000
```

***

Preferred: B; penalty for the next structure: 15.8 kJ/mol of atoms.

***

A | Compound: Ti4SiGe2
Source: Alexandria
Functional: PBE
Structure: relaxed

Cell and atoms, written as POSCAR:
```
Ti4SiGe2
1.0
3.491 0.000 0.000
-1.746 6.091 0.000
0.000 0.000 11.676
Ti Si Ge
8 2 4
Cartesian
1.746 3.378 1.531
1.746 3.378 4.307
0.000 2.713 10.145
0.000 2.713 7.369
1.746 5.598 8.757
0.000 0.493 2.919
1.746 0.000 0.000
1.746 0.000 5.838
1.746 1.317 8.757
0.000 4.774 2.919
0.000 1.695 5.087
1.746 4.396 10.925
0.000 1.695 0.751
1.746 4.396 6.589
```

***

B | Compound: Ti4SiGe2
Source: Alexandria
Functional: PBE
Structure: relaxed

Cell and atoms, written as POSCAR:
```
Ti4SiGe2
1.0
4.422 0.000 0.000
0.000 4.422 0.000
2.211 2.211 6.839
Ge Si Ti
2 1 4
Cartesian
2.211 2.211 1.864
4.422 4.422 4.975
0.000 0.000 0.000
2.211 2.211 4.459
4.422 4.422 2.380
0.000 2.211 0.000
2.211 0.000 0.000
```

***

Preferred: A; penalty for the next structure: 34.4 kJ/mol of atoms.

***

A | Compound: TlSi2Ge
Source: Alexandria
Functional: PBE
Structure: relaxed

Cell and atoms, written as POSCAR:
```
TlSi2Ge
1.0
-2.191 -4.919 2.583
-1.199 -2.293 -5.382
3.490 -5.988 -1.540
Tl Si Ge
2 4 2
Cartesian
0.000 0.000 0.000
-0.198 -7.256 -0.178
-0.571 -4.689 0.468
-0.226 -3.713 -3.338
1.305 -7.274 -2.389
-0.308 -10.722 -3.420
-1.695 -3.606 -1.400
0.298 -5.943 -4.161
```

***

B | Compound: TlSi2Ge
Source: Alexandria
Functional: PBE
Structure: relaxed

Cell and atoms, written as POSCAR:
```
TlSi2Ge
1.0
0.000 3.434 3.434
3.434 0.000 3.434
3.434 3.434 0.000
Tl Si Ge
1 2 1
Cartesian
3.434 3.434 3.434
1.717 1.717 1.717
5.151 5.151 5.151
0.000 0.000 0.000
```

***

Preferred: A; penalty for the next structure: 27.3 kJ/mol of atoms.

***

A | Compound: Tl2SiGe
Source: Alexandria
Functional: PBE
Structure: relaxed

Cell and atoms, written as POSCAR:
```
Tl2SiGe
1.0
0.000 3.638 3.638
3.638 0.000 3.638
3.638 3.638 0.000
Tl Si Ge
2 1 1
Cartesian
1.819 1.819 1.819
5.457 5.457 5.457
0.000 0.000 0.000
3.638 3.638 3.638
```

***

B | Compound: Tl2SiGe
Source: Alexandria
Functional: PBE
Structure: relaxed

Cell and atoms, written as POSCAR:
```
Tl2SiGe
1.0
5.814 0.000 0.000
0.000 5.814 0.000
2.907 2.907 7.178
Tl Si Ge
4 2 2
Cartesian
4.285 1.454 1.795
1.529 4.361 1.795
4.361 4.436 5.384
7.268 7.192 5.384
2.907 2.907 0.000
2.907 5.814 3.589
0.000 0.000 0.000
5.814 2.907 3.589
```

***

Preferred: A; penalty for the next structure: 7.9 kJ/mol of atoms.

***

A | Compound: USi2Ge
Source: Alexandria
Functional: PBE
Structure: relaxed

Cell and atoms, written as POSCAR:
```
USi2Ge
1.0
4.584 0.000 0.000
2.292 3.970 0.000
2.292 1.323 6.549
Ge U Si
1 1 2
Cartesian
0.000 0.000 0.000
4.584 2.647 3.275
2.292 1.323 4.260
6.876 3.970 2.290
```

***

B | Compound: USi2Ge
Source: Alexandria
Functional: PBE
Structure: relaxed

Cell and atoms, written as POSCAR:
```
USi2Ge
1.0
4.057 0.000 0.000
0.000 4.097 0.000
0.000 0.000 4.097
Ge U Si
1 1 2
Cartesian
2.029 0.000 0.000
2.029 2.049 2.049
0.000 0.000 2.049
0.000 2.049 0.000
```

***

Preferred: B; penalty for the next structure: 110.8 kJ/mol of atoms.

***

A | Compound: V2Si2Ge
Source: Alexandria
Functional: PBE
Structure: relaxed

Cell and atoms, written as POSCAR:
```
V2Si2Ge
1.0
-1.790 -4.368 -4.437
0.214 -4.658 4.498
-3.271 0.576 0.752
Ge Si V
2 4 4
Cartesian
0.000 0.000 0.000
-0.788 -4.513 0.030
-1.743 -3.268 2.633
-2.589 -6.514 1.440
-3.104 -5.181 -1.821
-2.258 -1.935 -0.627
-0.431 -5.410 2.270
-1.365 -6.742 -0.771
-1.145 -3.616 -2.209
-0.211 -2.283 0.832
```

***

B | Compound: V2Si2Ge
Source: Alexandria
Functional: PBE
Structure: relaxed

Cell and atoms, written as POSCAR:
```
V2Si2Ge
1.0
3.369 0.000 0.000
0.000 3.369 0.000
1.684 1.684 6.385
Ge Si V
1 2 2
Cartesian
0.000 0.000 0.000
3.369 1.684 3.192
1.684 3.369 3.192
1.684 1.684 1.299
3.369 3.369 5.086
```

***

Preferred: A; penalty for the next structure: 1.2 kJ/mol of atoms.

***

A | Compound: V4SiGe2
Source: Alexandria
Functional: PBE
Structure: relaxed

Cell and atoms, written as POSCAR:
```
V4SiGe2
1.0
6.316 -0.831 -0.110
-1.285 6.240 0.109
-2.435 -2.779 5.191
V Si Ge
8 2 4
Cartesian
-1.093 0.641 2.117
1.097 1.883 1.326
3.312 1.587 3.075
2.519 -1.968 3.844
0.452 5.000 1.344
-0.638 -1.548 3.867
0.178 1.976 4.711
4.553 2.948 0.477
-0.603 3.083 2.650
0.000 0.000 0.001
1.179 0.166 3.259
2.677 3.818 1.930
3.300 0.712 0.640
-1.964 0.564 4.551
```

***

B | Compound: V4SiGe2
Source: Alexandria
Functional: PBE
Structure: relaxed

Cell and atoms, written as POSCAR:
```
V4SiGe2
1.0
-4.026 -1.113 -0.968
-0.513 -1.581 3.953
-4.387 4.510 3.561
Ge Si V
2 1 4
Cartesian
-2.823 0.183 2.033
-6.103 1.632 4.512
0.000 0.000 0.000
-3.632 2.423 2.823
-5.294 -0.607 3.722
-0.257 -0.791 1.976
-2.013 -0.557 -0.484
```

***

Preferred: A; penalty for the next structure: 68.6 kJ/mol of atoms.

***

A | Compound: V10Si3Ge3
Source: Alexandria
Functional: PBE
Structure: relaxed

Cell and atoms, written as POSCAR:
```
V10Si3Ge3
1.0
9.466 -0.002 0.001
4.753 5.309 0.009
4.713 -3.135 4.287
V Si Ge
10 3 3
Cartesian
12.015 0.436 2.478
6.905 1.755 1.809
11.653 4.675 0.330
7.256 -2.519 3.975
13.499 3.021 1.168
5.415 -0.870 3.139
8.748 3.362 0.995
10.205 -1.202 3.308
9.487 0.556 1.057
9.487 1.653 3.221
11.042 2.485 1.439
6.306 3.909 0.718
12.617 -1.745 3.583
4.731 0.542 1.075
14.197 1.627 3.223
7.891 -0.312 2.857
```

***

B | Compound: V10Si3Ge3
Source: Alexandria
Functional: PBE
Structure: relaxed

Cell and atoms, written as POSCAR:
```
V10Si3Ge3
1.0
7.188 0.000 0.000
-3.594 6.225 0.000
0.000 0.000 4.882
V Si Ge
10 3 3
Cartesian
3.594 2.075 3.687
0.000 4.150 3.687
0.000 4.150 1.195
3.594 2.075 1.195
2.717 4.706 2.441
1.754 0.000 2.441
-0.877 1.519 2.441
0.865 1.498 0.000
5.459 0.000 0.000
-2.729 4.727 0.000
2.182 3.779 0.000
2.825 0.000 0.000
-1.412 2.446 0.000
1.420 2.460 2.441
4.347 0.000 2.441
-2.174 3.765 2.441
```

***

Preferred: A; penalty for the next structure: 4.0 kJ/mol of atoms.

***

A | Compound: SiGeW
Source: Alexandria
Functional: PBE
Structure: relaxed

Cell and atoms, written as POSCAR:
```
SiGeW
1.0
-1.735 -0.058 4.001
-4.237 -0.890 0.527
-0.685 -6.249 1.990
Ge W Si
2 2 2
Cartesian
-3.672 -2.036 3.132
-2.984 -5.160 3.386
-1.745 -1.431 1.600
-4.911 -5.765 4.918
-5.455 -3.296 4.718
-1.202 -3.900 1.800
```

***

B | Compound: SiGeW
Source: Alexandria
Functional: PBE
Structure: relaxed

Cell and atoms, written as POSCAR:
```
SiGeW
1.0
2.680 0.000 0.000
0.000 4.515 0.000
0.000 -2.257 3.910
Ge Si W
1 1 1
Cartesian
0.447 2.257 1.303
1.789 0.000 2.606
0.445 0.000 0.000
```

***

Preferred: A; penalty for the next structure: 2.5 kJ/mol of atoms.

***

A | Compound: SiGeW2
Source: Alexandria
Functional: PBE
Structure: relaxed

Cell and atoms, written as POSCAR:
```
SiGeW2
1.0
-3.020 2.132 -0.937
-2.211 -2.145 2.248
-0.868 5.558 7.685
Ge Si W
2 2 4
Cartesian
0.000 0.000 0.000
-3.252 3.842 3.702
-2.616 -0.006 0.656
-2.848 1.703 5.294
-2.365 2.443 1.622
-1.992 0.326 3.204
-2.624 4.153 6.267
-5.217 4.168 6.899
```

***

B | Compound: SiGeW2
Source: Alexandria
Functional: PBE
Structure: relaxed

Cell and atoms, written as POSCAR:
```
SiGeW2
1.0
0.000 3.100 3.100
3.100 0.000 3.100
3.100 3.100 0.000
Ge Si W
1 1 2
Cartesian
3.100 3.100 3.100
0.000 0.000 0.000
1.550 1.550 1.550
4.650 4.650 4.650
```

***

Preferred: B; penalty for the next structure: 23.5 kJ/mol of atoms.